CoP2WO after structural relaxation, computed with GGA+U.

POSCAR file:
```
CoP2WO
1.0
4.634 0.000 0.000
0.000 4.634 0.000
0.000 0.000 3.404
P W Co O
2 1 1 1
Cartesian
2.317 0.000 0.000
0.000 2.317 0.000
2.317 2.317 1.702
0.000 0.000 0.000
0.000 0.000 1.702
```

Properties
Total magnetization, μB/f.u.: 4.165
Final energy, eV per atom: -5.176
Volume, Å³/atom: 14.62
Offset from the most stable computed form, meV/atom: 220